Rb2AgF at its PBEsol-relaxed geometry, computed with meta-GGA SCAN.

The space group is I-42d (No. 122) and the conventional cell measures 7.984, 7.984 and 9.032 Å, with angles of 90.00, 90.00 and 90.00 degrees. The inequivalent atoms are Rb at (0.162, 0.250, 0.125), Ag at (0.000, 0.000, 0.500) and F at (0.000, 0.000, 0.000).

Its crystal system is tetragonal. The calculation puts the energy relative to the elements, uncorrected at -1.264 eV per atom.


RbAgF2 at its PBEsol-relaxed geometry, computed with meta-GGA SCAN.

The space group is I-42d (No. 122) and the conventional cell measures 5.361, 5.361 and 12.523 Å, with angles of 90.00, 90.00 and 90.00 degrees. The inequivalent atoms are Rb at (0.000, 0.000, 0.000), Ag at (0.000, 0.000, 0.500) and F at (0.187, 0.250, 0.625).

Its crystal system is tetragonal. The calculation puts the offset from the most stable computed form at 0.054 eV/atom. The calculation puts the energy relative to the elements, uncorrected at -1.855 eV per atom.


RbAgF3 at its PBEsol-relaxed geometry, computed with meta-GGA SCAN.

The space group is I4/mcm (No. 140) and the conventional cell measures 6.145, 6.145 and 8.633 Å, with angles of 90.00, 90.00 and 90.00 degrees. The inequivalent atoms are Rb at (0.000, 0.000, 0.250), Ag at (0.000, 0.500, 0.000), F at (0.000, 0.500, 0.250) and F at (0.243, 0.257, 0.000).

Its crystal system is tetragonal. The calculation puts the energy relative to the elements, uncorrected at -2.029 eV per atom.


RbAgF2 at its PBEsol-relaxed geometry, computed with meta-GGA SCAN.

The space group is R-3m (No. 166, hexagonal axes) and the conventional cell measures 4.0525, 4.0525 and 20.6836 Å, with angles of 90.00, 90.00 and 120.00 degrees. The inequivalent atoms are Rb at (0.0000, 0.0000, 0.0000), Ag at (0.0000, 0.0000, 0.5000) and F at (0.0000, 0.0000, 0.4026).

Its crystal system is trigonal. The calculation puts the offset from the most stable computed form at 0.000 eV/atom. The calculation puts the energy relative to the elements, uncorrected at -1.910 eV per atom.


RbAgF3 at its PBEsol-relaxed geometry, computed with meta-GGA SCAN.

The space group is Pm-3m (No. 221) and the conventional cell measures 4.817, 4.817 and 4.817 Å, with angles of 90.00, 90.00 and 90.00 degrees. The inequivalent atoms are Rb at (0.000, 0.000, 0.000), Ag at (0.500, 0.500, 0.500) and F at (0.000, 0.000, 0.500).

Its crystal system is cubic. The calculation puts the energy relative to the elements, uncorrected at -0.980 eV per atom.


Rb2AgRhF6 at its PBEsol-relaxed geometry, computed with meta-GGA SCAN.

The space group is Fm-3m (No. 225) and the conventional cell measures 8.617, 8.617 and 8.617 Å, with angles of 90.00, 90.00 and 90.00 degrees. The inequivalent atoms are Rb at (0.250, 0.250, 0.250), Ag at (0.000, 0.000, 0.000), Rh at (0.000, 0.000, 0.500) and F at (0.000, 0.000, 0.269).

Its crystal system is cubic. The calculation puts the energy relative to the elements, uncorrected at -2.240 eV per atom.


energy relative to the elements, uncorrected of number 1 (Rb2AgF)? -1.264 eV per atom


Look up the energy relative to the elements, uncorrected of the sixth one. -2.240 eV per atom


Which value of energy relative to the elements, uncorrected does entry 3 give? -2.029 eV per atom